# 1
Below is a geometry-optimized SrYIr2 structure, with properties calculated at the PBE-GGA level.

Unit cell a=9.7441 b=4.5034 c=6.6291 alpha=90.00 beta=123.84 gamma=90.00
Last column: nearest neighbours and their distance in Å.
Space group C2/m (No. 12)
Inequivalent atoms, fractional coordinates:
Sr1 0.0000 0.0000 0.0000 x2  6 Ir 3.14-3.39
Y1 0.0000 0.5000 0.5000 x2  2 Ir 2.74
Ir1 0.2462 0.0000 0.5669 x4  2 Ir 2.44

E above lowest polymorph: 0.53 eV/f.u.
Electronic total energy: -6.67 eV/atom
ΔE_f: -0.80 eV per formula unit
DOS(E_F): 8.5 states/eV/cell


# 2
Below is a geometry-optimized SrYZn2Ir structure, with properties calculated at the PBE-GGA level.

Unit cell a=5.0518 b=5.0518 c=5.1491 alpha=90.00 beta=90.00 gamma=90.00
Last column: nearest neighbours and their distance in Å.
Space group P4/mmm (No. 123)
Inequivalent atoms, fractional coordinates:
Sr1 0.0000 0.0000 0.0000 x1  4 Y 3.57, 8 Zn 3.61
Y1 0.5000 0.5000 0.0000 x1  2 Ir 2.57
Zn1 0.0000 0.5000 0.5000 x2  2 Ir 2.53
Ir1 0.5000 0.5000 0.5000 x1  4 Zn 2.53, 2 Y 2.57

Electronic total energy: -4.12 eV/atom
ΔE_f: -1.05 eV per formula unit
DOS(E_F): 3.4 states/eV/cell


Among the records above, which one has the highest DOS(E_F)?
SrYIr2